# PBE PbC2F, relaxed
data_PbC2F
_cell_length_a 3.258
_cell_length_b 3.258
_cell_length_c 11.042
_cell_angle_alpha 81.52
_cell_angle_beta 81.52
_cell_angle_gamma 90.00
_symmetry_space_group_name_H-M 'P 1'
_symmetry_Int_Tables_number 1
loop_
_symmetry_equiv_pos_as_xyz
'x,y,z'
loop_
_atom_site_label
_atom_site_type_symbol
_atom_site_fract_x
_atom_site_fract_y
_atom_site_fract_z
C1 C 0.375 0.125 0.250
F1 F 0.500 0.500 0.000
C2 C 0.375 0.625 0.250
C3 C 0.375 0.625 0.750
Pb1 Pb 0.000 0.000 0.000
Pb2 Pb 0.750 0.250 0.500
C4 C 0.875 0.625 0.750
F2 F 0.250 0.750 0.500
# - Formation energy (no corrections): 1.08 eV per atom
# - Polymorph energy (0 for the lowest one): 0.0 meV per atom
# - Calculated volume: 57 Å³/f.u.